Entry 1
The following is a PBE calculation of a geometry-optimized Sm4SbC structure, from the Alexandria database.

Summary:
Total magnetization = 0.00 μB per cell

abc: 6.1485 7.8184 9.9513
angles: 90.00 90.00 129.34
Fractional positions:
Sm  0.9982  0.2591  0.5500
Sm  0.3981  0.1310  0.7500
Sm  0.9982  0.2591  0.9500
Sm  0.4010  0.2682  0.2500
Sm  0.0018  0.7409  0.4500
Sm  0.5990  0.7318  0.7500
Sm  0.0018  0.7409  0.0500
Sm  0.6019  0.8690  0.2500
Sb  0.0019  0.4034  0.2500
Sb  0.9981  0.5966  0.7500
C  0.0021  0.8958  0.2500
C  0.9979  0.1042  0.7500



Entry 2
The following is a PBE calculation of a geometry-optimized Sm4SbC structure, from the Alexandria database.

Summary:
Total magnetization = 0.00 μB per cell

abc: 6.2801 9.5836 8.7243
angles: 56.68 70.47 52.51
Fractional positions:
Sm  0.8572  0.2533  0.9053
Sm  0.3943  0.3346  0.6149
Sm  0.1428  0.7467  0.0947
Sm  0.6057  0.6654  0.3851
Sm  0.8943  0.9495  0.3851
Sm  0.1057  0.0505  0.6149
Sm  0.3572  0.1586  0.0947
Sm  0.6428  0.8414  0.9053
C  0.7500  0.0736  0.8528
C  0.2500  0.9264  0.1472
Sb  0.2500  0.6182  0.7635
Sb  0.7500  0.3818  0.2365



Q: Which of them is the most stable? A: entry 2.